# 1
Y4In: relaxed, GGA-PBE.

Cell: 17.8578 4.8535 6.9453 Å, 90.00 100.26 90.00°
Last column: nearest neighbours and their distance in Å.
Space group C2/m (No. 12)
Asymmetric unit:
1 Y 0.0000 0.0000 0.0000  4 In 3.42, 8 Y 3.46-3.57
2 Y 0.0000 0.0000 0.5000  8 Y 3.40-3.50, 4 In 3.43
3 Y 0.1018 0.5000 0.2915  3 In 3.43-3.52, 9 Y 3.43-3.60
4 Y 0.1934 0.0000 0.5980  10 Y 3.40-3.60, 2 In 3.41
5 Y 0.2031 0.0000 0.1006  9 Y 3.39-3.57, 3 In 3.54-3.55
6 In 0.0956 0.5000 0.7950  12 Y 3.41-3.55

## Properties
Uncorrected energy, eV per atom: -5.91
ΔE_f, meV per atom: -196
D(E_F), states/eV/atom: 1.28
Theoretical density, Mg/m³: 5.275

# 2
La5PmSm5: relaxed, GGA-PBE.

Cell: 6.3740 8.2368 8.2440 Å, 107.38 97.42 104.97°
Last column: nearest neighbours and their distance in Å.
Space group P1 (No. 1)
Asymmetric unit:
1 La 0.0000 0.0000 0.0000  5 La 3.67-3.70, 6 Sm 3.68-3.72, 1 Pm 3.69
2 La 0.0902 0.3629 0.8189  7 Sm 3.66-3.71, 4 La 3.67-3.70, 1 Pm 3.70
3 La 0.4536 0.8176 0.0915  5 Sm 3.68-3.71, 6 La 3.68-3.69, 1 Pm 3.68
4 La 0.8170 0.2724 0.3650  7 Sm 3.66-3.71, 4 La 3.68-3.70, 1 Pm 3.69
5 La 0.9076 0.6354 0.1837  5 La 3.68-3.70, 1 Pm 3.68, 6 Sm 3.68-3.72
6 Pm 0.7252 0.9072 0.5457  7 Sm 3.66-3.68, 5 La 3.68-3.70
7 Sm 0.1819 0.7277 0.6381  5 Sm 3.66-3.68, 2 Pm 3.67-3.68, 5 La 3.68-3.69
8 Sm 0.2712 0.0903 0.4592  4 Sm 3.64-3.69, 6 La 3.66-3.72, 2 Pm 3.67-3.68
9 Sm 0.3623 0.4540 0.2769  4 Sm 3.64-3.73, 7 La 3.67-3.71, 1 Pm 3.67
10 Sm 0.5449 0.1811 0.9066  4 Sm 3.64-3.73, 7 La 3.67-3.71, 1 Pm 3.67
11 Sm 0.6359 0.5448 0.7244  5 Sm 3.64-3.69, 1 Pm 3.66, 6 La 3.66-3.72

## Properties
Uncorrected energy, eV per atom: -4.80
ΔE_f, meV per atom: 20
D(E_F), states/eV/atom: 1.83
Theoretical density, Mg/m³: 6.794

# 3
U2TlSe6: relaxed, GGA-PBE.

Cell: 7.0906 8.4824 8.5754 Å, 90.00 99.41 90.00°
Last column: nearest neighbours and their distance in Å.
Space group C2/m (No. 12)
Asymmetric unit:
1 U 0.0000 0.2490 0.0000  8 Se 2.95-2.96
2 Tl 0.0000 0.0000 0.5000  6 Se 3.35-3.44
3 Se 0.1971 0.3546 0.7407  1 Se 2.47
4 Se 0.2264 0.0000 0.8744  4 U 2.96, 2 Se 3.21

## Properties
Uncorrected energy, eV per atom: -5.90
D(E_F), states/eV/atom: 1.13
Theoretical density, Mg/m³: 7.533

# 4
Tb2Ga6CoNi: relaxed, GGA-PBE.

Cell: 9.1025 9.1025 9.1025 Å, 90.00 90.00 90.00°
Last column: nearest neighbours and their distance in Å.
Space group Fm-3m (No. 225)
Asymmetric unit:
1 Tb 0.2500 0.2500 0.2500  12 Ga 3.22
2 Ga 0.0000 0.0000 0.2498  1 Co 2.27, 1 Ni 2.28
3 Co 0.0000 0.0000 0.0000  6 Ga 2.27
4 Ni 0.0000 0.0000 0.5000  6 Ga 2.28

## Properties
Uncorrected energy, eV per atom: -4.37
ΔE_f, meV per atom: -343
D(E_F), states/eV/atom: 0.65
Theoretical density, Mg/m³: 7.520

# 5
CuC3: relaxed, GGA-PBE.

Cell: 3.5508 6.3917 3.2045 Å, 90.00 90.00 90.00°
Last column: nearest neighbours and their distance in Å.
Space group Cmmm (No. 65)
Asymmetric unit:
1 Cu 0.0000 0.0000 0.0000  2 C 1.78
2 C 0.0000 0.5000 0.0000  2 Cu 1.78
3 C 0.2500 0.2500 0.5000  2 C 1.78

## Properties
Uncorrected energy, eV per atom: -5.03
ΔE_f, meV per atom: 2909
D(E_F), states/eV/atom: 0.42
Theoretical density, Mg/m³: 4.547

# 6
Li2HgRu: relaxed, GGA-PBE.

Cell: 3.1536 4.3638 4.5446 Å, 90.00 90.00 90.00°
Last column: nearest neighbours and their distance in Å.
Space group Pmmm (No. 47)
Asymmetric unit:
1 Li 0.0000 0.0000 0.0000  4 Ru 2.69, 4 Li 2.77
2 Li 0.5000 0.0000 0.5000  4 Hg 2.69, 4 Li 2.77
3 Hg 0.0000 0.5000 0.5000  4 Li 2.69, 4 Ru 2.77
4 Ru 0.5000 0.5000 0.0000  4 Li 2.69, 4 Hg 2.77

## Properties
Uncorrected energy, eV per atom: -3.24
ΔE_f, meV per atom: 110
D(E_F), states/eV/atom: 0.62
Theoretical density, Mg/m³: 8.378

# 7
NdDy3Y: relaxed, GGA-PBE.

Cell: 6.3218 5.6976 9.6466 Å, 90.00 109.08 90.00°
Last column: nearest neighbours and their distance in Å.
Space group P2_1/m (No. 11)
Asymmetric unit:
1 Nd 0.0669 0.2500 0.3000  10 Dy 3.54-3.67, 2 Y 3.65
2 Dy 0.1328 0.7500 0.0989  5 Dy 3.53-3.65, 4 Y 3.54-3.64, 3 Nd 3.55-3.64
3 Dy 0.2667 0.2500 0.7001  3 Y 3.54-3.64, 3 Nd 3.54-3.65, 6 Dy 3.55-3.66
4 Dy 0.3360 0.7500 0.4994  7 Dy 3.52-3.66, 4 Nd 3.55-3.67, 1 Y 3.65
5 Y 0.4662 0.2500 0.0998  2 Y 3.54, 8 Dy 3.54-3.65, 2 Nd 3.65

## Properties
Uncorrected energy, eV per atom: -4.99
ΔE_f, meV per atom: 14
D(E_F), states/eV/atom: 1.71
Theoretical density, Mg/m³: 7.289

# 8
Si2BRh: relaxed, GGA-PBE.

Cell: 4.0951 4.0951 14.7647 Å, 90.00 90.00 120.00°
Last column: nearest neighbours and their distance in Å.
Space group R-3m (No. 166, hexagonal axes)
Asymmetric unit:
1 Si 0.0000 0.0000 0.1302  1 B 1.92
2 B 0.0000 0.0000 0.0000  2 Si 1.92
3 Rh 0.0000 0.0000 0.5000  6 Si 2.42

## Properties
Uncorrected energy, eV per atom: -5.82
D(E_F), states/eV/atom: 0.55
Theoretical density, Mg/m³: 3.947

# 9
TiTcSbRh: relaxed, GGA-PBE.

Cell: 6.3467 6.3467 6.3467 Å, 90.00 90.00 90.00°
Last column: nearest neighbours and their distance in Å.
Space group F-43m (No. 216)
Asymmetric unit:
1 Ti 0.0000 0.0000 0.0000  4 Tc 2.75, 4 Rh 2.75
2 Tc 0.2500 0.2500 0.2500  4 Sb 2.75, 4 Ti 2.75
3 Sb 0.0000 0.0000 0.5000  4 Tc 2.75, 4 Rh 2.75
4 Rh 0.2500 0.2500 0.7500  4 Sb 2.75, 4 Ti 2.75

## Properties
Uncorrected energy, eV per atom: -7.85
D(E_F), states/eV/atom: 1.26
Theoretical density, Mg/m³: 9.627

# 10
CaZrP2Cl: relaxed, GGA-PBE.

Cell: 5.1477 5.1477 4.7923 Å, 90.00 90.00 90.00°
Last column: nearest neighbours and their distance in Å.
Space group P4/mmm (No. 123)
Asymmetric unit:
1 Ca 0.0000 0.0000 0.0000  2 Cl 2.40, 4 P 2.57
2 Zr 0.5000 0.5000 0.5000  8 P 3.52, 4 Cl 3.64
3 P 0.0000 0.5000 0.0000  2 Ca 2.57
4 Cl 0.0000 0.0000 0.5000  2 Ca 2.40

## Properties
Uncorrected energy, eV per atom: -4.32
D(E_F), states/eV/atom: 0.97
Theoretical density, Mg/m³: 2.991

# 11
Tl2FeIr: relaxed, GGA-PBE.

Cell: 4.2963 4.2963 8.0975 Å, 90.00 90.00 90.00°
Last column: nearest neighbours and their distance in Å.
Space group I4/mmm (No. 139)
Asymmetric unit:
1 Tl 0.0000 0.5000 0.2500  4 Fe 2.95, 4 Ir 2.95, 4 Tl 3.04
2 Fe 0.0000 0.0000 0.0000  8 Tl 2.95, 4 Ir 3.04
3 Ir 0.0000 0.0000 0.5000  8 Tl 2.95, 4 Fe 3.04

## Properties
Uncorrected energy, eV per atom: -4.83
ΔE_f, meV per atom: 680
D(E_F), states/eV/atom: 1.27
Theoretical density, Mg/m³: 14.594

# 12
Pu4Se3O2: relaxed, GGA-PBE.

Cell: 12.3380 3.6742 8.1842 Å, 90.00 114.01 90.00°
Last column: nearest neighbours and their distance in Å.
Space group C2/m (No. 12)
Asymmetric unit:
1 Pu 0.1129 0.0000 0.3976  3 O 2.27-2.45
2 Pu 0.2167 0.5000 0.0640  1 O 2.33, 2 Pu 2.42
3 Se 0.0000 0.0000 0.0000  6 Pu 2.97-3.11
4 Se 0.0967 0.5000 0.6854  7 Pu 2.84-3.06, 1 Se 3.00
5 O 0.1987 0.5000 0.3366  4 Pu 2.27-2.45

## Properties
Uncorrected energy, eV per atom: -10.34
D(E_F), states/eV/atom: 1.99
Theoretical density, Mg/m³: 12.199